# LaMgS3, relaxed, DFT PBE
# Energy above the most stable polymorph in this dataset   227 meV per atom
# Space-group type   Pm-3m, No. 221
# Raw formation energy   -1187 meV/atom
data_LaMgS3
_chemical_formula_sum 'La1 Mg1 S3'
_cell_length_a 4.7709
_cell_length_b 4.7709
_cell_length_c 4.7709
_cell_angle_alpha 90.00
_cell_angle_beta 90.00
_cell_angle_gamma 90.00
_space_group_name_H-M_alt 'P 1'
_space_group_IT_number 1
_space_group_name_Hall 'P 1'
loop_
_atom_site_label
_atom_site_type_symbol
_atom_site_fract_x
_atom_site_fract_y
_atom_site_fract_z
La1 La 0.0000 0.0000 0.0000
Mg1 Mg 0.5000 0.5000 0.5000
S1 S 0.0000 0.5000 0.5000
S2 S 0.5000 0.0000 0.5000
S3 S 0.5000 0.5000 0.0000



# AlAs2Rh, relaxed, DFT PBE
# Space-group type   I-4m2, No. 119
data_AlAs2Rh
_chemical_formula_sum 'Al2 As4 Rh2'
_cell_length_a 4.0909
_cell_length_b 4.0909
_cell_length_c 7.8204
_cell_angle_alpha 90.00
_cell_angle_beta 90.00
_cell_angle_gamma 90.00
_space_group_name_H-M_alt 'P 1'
_space_group_IT_number 1
_space_group_name_Hall 'P 1'
loop_
_atom_site_label
_atom_site_type_symbol
_atom_site_fract_x
_atom_site_fract_y
_atom_site_fract_z
Al1 Al 0.0000 0.0000 0.0000
Al2 Al 0.5000 0.5000 0.5000
As1 As 0.0000 0.0000 0.5000
As2 As 0.0000 0.5000 0.7500
As3 As 0.5000 0.0000 0.2500
As4 As 0.5000 0.5000 0.0000
Rh1 Rh 0.0000 0.5000 0.2500
Rh2 Rh 0.5000 0.0000 0.7500



no.,calculated total energy (eV/atom)
1,-4.968
2,-5.115